Entry from the Open Quantum Materials Database: a geometry-optimized Cs2TcO3 structure (PBE-GGA).

The structure belongs to space group Cmcm (No. 63); the cell edges are 10.738, 7.576 and 5.951 Å and the angles 90.00°, 90.00° and 90.00°. The inequivalent atoms are Cs at (0.168, 0.150, 0.250), Tc at (0.000, 0.417, 0.750), O at (0.000, 0.173, 0.750) and O at (0.113, 0.500, 0.000).

The energy relative to the lowest polymorph listed for this composition is 102 meV/atom. The value obtained for the size of the total moment is 1.036 μB per formula unit. The total energy is -5.808 eV per atom.